Entry 1:
DFT (PBE-GGA) results for a relaxed Sr3MgH crystal.

total magnetization = 0.00 μB per atom
symmetry = Pm-3m
offset from the most stable computed form = 0.000 eV per atom
crystal system = cubic

Lattice parameters (Å, degrees): 5.5160 5.5160 5.5160 90.00 90.00 90.00
Positions (direct):
Sr (0.0000, 0.0000, 0.5000)
Sr (0.0000, 0.5000, 0.0000)
Sr (0.5000, 0.0000, 0.0000)
Mg (0.5000, 0.5000, 0.5000)
H (0.0000, 0.0000, 0.0000)

***

Entry 2:
DFT (PBE-GGA) results for a relaxed La6Sm2Pb crystal.

total magnetization = 0.00 μB per atom
symmetry = C2/c
formation energy = -0.067 eV/atom
crystal system = monoclinic

Lattice parameters (Å, degrees): 6.2761 6.2761 15.8897 92.49 92.49 99.58
Positions (direct):
La (0.1040, 0.7837, 0.9676)
La (0.2163, 0.8960, 0.5324)
La (0.2168, 0.4295, 0.6613)
La (0.2649, 0.4030, 0.4135)
La (0.4030, 0.2649, 0.9135)
La (0.4295, 0.2168, 0.1613)
La (0.5705, 0.7832, 0.8387)
La (0.5970, 0.7351, 0.0865)
La (0.7351, 0.5970, 0.5865)
La (0.7832, 0.5705, 0.3387)
La (0.7837, 0.1040, 0.4676)
La (0.8960, 0.2163, 0.0324)
Sm (0.0815, 0.6254, 0.1770)
Sm (0.3746, 0.9185, 0.3230)
Sm (0.6254, 0.0815, 0.6770)
Sm (0.9185, 0.3746, 0.8230)
Pb (0.0880, 0.9120, 0.7500)
Pb (0.9120, 0.0880, 0.2500)